Arrangement one

! YNbF3 PBE-GGA relaxed; values from VASP
&SYSTEM
  ibrav = 0, nat = 5, ntyp = 3
/
ATOMIC_SPECIES
Y 88.91 Y.upf
Nb 92.91 Nb.upf
F 19.00 F.upf
ATOMIC_POSITIONS angstrom
Y 2.2181 2.2181 2.2181
Nb 0.0000 0.0000 0.0000
F 0.0000 2.2181 0.0000
F 0.0000 0.0000 2.2181
F 2.2181 0.0000 0.0000
CELL_PARAMETERS angstrom
4.4363 0.0000 0.0000
0.0000 4.4363 0.0000
0.0000 0.0000 4.4363
! SG: Pm-3m

***

Arrangement two

! YNbF3 PBE-GGA relaxed; values from VASP
&SYSTEM
  ibrav = 0, nat = 5, ntyp = 3
/
ATOMIC_SPECIES
Y 88.91 Y.upf
Nb 92.91 Nb.upf
F 19.00 F.upf
ATOMIC_POSITIONS angstrom
Y 0.0000 0.0000 0.0000
Nb 2.2489 2.2489 2.2489
F 0.0000 2.2489 0.0000
F 0.0000 0.0000 2.2489
F 2.2489 0.0000 0.0000
CELL_PARAMETERS angstrom
4.4978 0.0000 0.0000
0.0000 4.4978 0.0000
0.0000 0.0000 4.4978
! SG: Pm-3m

***

Each structure's energy above the most stable one, in eV/atom: arrangement one 0.373; arrangement two 0.000.

***

Arrangement one

! Y2NbF PBE-GGA relaxed; values from VASP
&SYSTEM
  ibrav = 0, nat = 4, ntyp = 3
/
ATOMIC_SPECIES
Y 88.91 Y.upf
Nb 92.91 Nb.upf
F 19.00 F.upf
ATOMIC_POSITIONS angstrom
Y 1.7877 1.7877 1.7877
Y 5.3632 5.3632 5.3632
Nb 3.5755 3.5755 3.5755
F 0.0000 0.0000 0.0000
CELL_PARAMETERS angstrom
0.0000 3.5755 3.5755
3.5755 0.0000 3.5755
3.5755 3.5755 0.0000
! SG: Fm-3m

***

Arrangement two

! Y2NbF PBE-GGA relaxed; values from VASP
&SYSTEM
  ibrav = 0, nat = 8, ntyp = 3
/
ATOMIC_SPECIES
Y 88.91 Y.upf
Nb 92.91 Nb.upf
F 19.00 F.upf
ATOMIC_POSITIONS angstrom
Y -3.0590 2.0349 3.4972
Y -5.0129 -1.5761 2.6273
Y -6.0398 -0.5684 5.8243
Y -9.3991 0.7302 7.9790
Nb 0.0000 0.0000 0.0000
Nb -5.1622 2.4137 5.7558
F -4.3883 0.6073 2.2852
F -6.5932 -2.1034 4.2081
CELL_PARAMETERS angstrom
-2.9573 5.1245 3.8328
-5.8193 -3.9099 0.7375
-2.9788 -0.9042 5.3936
! SG: I-42d

***

Each structure's energy above the most stable one, in eV/atom: arrangement one 0.634; arrangement two 0.000.

***

Arrangement one

! NbZnF3 PBE-GGA relaxed; values from VASP
&SYSTEM
  ibrav = 0, nat = 5, ntyp = 3
/
ATOMIC_SPECIES
Nb 92.91 Nb.upf
Zn 65.41 Zn.upf
F 19.00 F.upf
ATOMIC_POSITIONS angstrom
Nb 2.3785 -2.4344 1.1166
Zn 0.0000 0.0000 0.0000
F 1.7594 -0.4842 -0.9731
F 1.0130 0.0594 1.8020
F -0.3939 -2.0097 0.2877
CELL_PARAMETERS angstrom
-0.7878 -4.0194 0.5755
3.5188 -0.9683 -1.9463
2.0261 0.1189 3.6039
! SG: Pm-3m

***

Arrangement two

! NbZnF3 PBE-GGA relaxed; values from VASP
&SYSTEM
  ibrav = 0, nat = 5, ntyp = 3
/
ATOMIC_SPECIES
Nb 92.91 Nb.upf
Zn 65.41 Zn.upf
F 19.00 F.upf
ATOMIC_POSITIONS angstrom
Nb 0.0000 0.0000 0.0000
Zn 2.1441 2.1441 2.1441
F 0.0000 2.1441 0.0000
F 0.0000 0.0000 2.1441
F 2.1441 0.0000 0.0000
CELL_PARAMETERS angstrom
4.2882 0.0000 0.0000
0.0000 4.2882 0.0000
0.0000 0.0000 4.2882
! SG: Pm-3m

***

Each structure's energy above the most stable one, in eV/atom: arrangement one 0.658; arrangement two 0.000.

***

Arrangement one

! Nb2ZnF PBE-GGA relaxed; values from VASP
&SYSTEM
  ibrav = 0, nat = 8, ntyp = 3
/
ATOMIC_SPECIES
Nb 92.91 Nb.upf
Zn 65.41 Zn.upf
F 19.00 F.upf
ATOMIC_POSITIONS angstrom
Nb 2.8649 0.9509 2.3516
Nb 0.9387 2.8527 2.3516
Nb 2.8527 2.8405 7.0547
Nb 4.7545 4.7667 7.0547
Zn 0.0000 0.0000 0.0000
Zn 3.8036 1.9018 4.7031
F 1.9018 1.9018 0.0000
F 1.9018 3.8036 4.7031
CELL_PARAMETERS angstrom
3.8036 0.0000 0.0000
0.0000 3.8036 0.0000
1.9018 1.9018 9.4063
! SG: I-42d

***

Arrangement two

! Nb2ZnF PBE-GGA relaxed; values from VASP
&SYSTEM
  ibrav = 0, nat = 4, ntyp = 3
/
ATOMIC_SPECIES
Nb 92.91 Nb.upf
Zn 65.41 Zn.upf
F 19.00 F.upf
ATOMIC_POSITIONS angstrom
Nb 1.5579 1.5579 1.5579
Nb 4.6736 4.6736 4.6736
Zn 3.1157 3.1157 3.1157
F 0.0000 0.0000 0.0000
CELL_PARAMETERS angstrom
0.0000 3.1157 3.1157
3.1157 0.0000 3.1157
3.1157 3.1157 0.0000
! SG: Fm-3m

***

Each structure's energy above the most stable one, in eV/atom: arrangement one 0.069; arrangement two 0.000.

***

Arrangement one

! NbZn3F PBE-GGA relaxed; values from VASP
&SYSTEM
  ibrav = 0, nat = 5, ntyp = 3
/
ATOMIC_SPECIES
Nb 92.91 Nb.upf
Zn 65.41 Zn.upf
F 19.00 F.upf
ATOMIC_POSITIONS angstrom
Nb -1.5110 1.3157 3.1207
Zn 0.5554 -0.5833 1.9838
Zn 0.0015 2.0542 0.6036
Zn -2.0678 -0.1552 0.5333
F 0.0000 0.0000 0.0000
CELL_PARAMETERS angstrom
-4.1356 -0.3104 1.0665
1.1108 -1.1666 3.9676
0.0029 4.1085 1.2072
! SG: Pm-3m

***

Arrangement two

! NbZn3F PBE-GGA relaxed; values from VASP
&SYSTEM
  ibrav = 0, nat = 5, ntyp = 3
/
ATOMIC_SPECIES
Nb 92.91 Nb.upf
Zn 65.41 Zn.upf
F 19.00 F.upf
ATOMIC_POSITIONS angstrom
Nb 0.0000 0.0000 0.0000
Zn 2.0797 -0.8006 -1.4172
Zn 0.6292 -1.7252 1.8980
Zn -1.5012 -1.8323 -1.1679
F 1.2077 -4.3581 -0.6870
CELL_PARAMETERS angstrom
-3.0023 -3.6645 -2.3357
4.1594 -1.6012 -2.8343
1.2583 -3.4504 3.7960
! SG: Pm-3m

***

Each structure's energy above the most stable one, in eV/atom: arrangement one 0.000; arrangement two 0.808.

***

Arrangement one

! Zr2NbF PBE-GGA relaxed; values from VASP
&SYSTEM
  ibrav = 0, nat = 4, ntyp = 3
/
ATOMIC_SPECIES
Nb 92.91 Nb.upf
Zr 91.22 Zr.upf
F 19.00 F.upf
ATOMIC_POSITIONS angstrom
Nb 1.9440 -0.7458 5.3983
Zr 0.9720 -0.3729 2.6991
Zr 2.9160 -1.1187 8.0974
F 0.0000 0.0000 0.0000
CELL_PARAMETERS angstrom
2.5784 -2.7758 2.8222
2.5826 1.9042 3.4673
-1.2729 -0.6201 4.5070
! SG: Fm-3m

***

Arrangement two

! Zr2NbF PBE-GGA relaxed; values from VASP
&SYSTEM
  ibrav = 0, nat = 8, ntyp = 3
/
ATOMIC_SPECIES
Nb 92.91 Nb.upf
Zr 91.22 Zr.upf
F 19.00 F.upf
ATOMIC_POSITIONS angstrom
Nb 0.0000 0.0000 0.0000
Nb 6.8364 3.4182 1.6346
Zr 4.6175 1.7091 0.8173
Zr 2.2189 5.1273 0.8173
Zr 5.1273 5.6372 2.4519
Zr 8.5455 8.0357 2.4519
F 3.4182 3.4182 0.0000
F 3.4182 6.8364 1.6346
CELL_PARAMETERS angstrom
6.8364 0.0000 0.0000
0.0000 6.8364 0.0000
3.4182 3.4182 3.2692
! SG: I-42d

***

Each structure's energy above the most stable one, in eV/atom: arrangement one 0.402; arrangement two 0.000.

***

Arrangement one

! ZrNbF3 PBE-GGA relaxed; values from VASP
&SYSTEM
  ibrav = 0, nat = 5, ntyp = 3
/
ATOMIC_SPECIES
Nb 92.91 Nb.upf
Zr 91.22 Zr.upf
F 19.00 F.upf
ATOMIC_POSITIONS angstrom
Nb 2.1919 2.1919 2.1919
Zr 0.0000 0.0000 0.0000
F 0.0000 2.1919 0.0000
F 0.0000 0.0000 2.1919
F 2.1919 0.0000 0.0000
CELL_PARAMETERS angstrom
4.3837 0.0000 0.0000
0.0000 4.3837 0.0000
0.0000 0.0000 4.3837
! SG: Pm-3m

***

Arrangement two

! ZrNbF3 PBE-GGA relaxed; values from VASP
&SYSTEM
  ibrav = 0, nat = 5, ntyp = 3
/
ATOMIC_SPECIES
Nb 92.91 Nb.upf
Zr 91.22 Zr.upf
F 19.00 F.upf
ATOMIC_POSITIONS angstrom
Nb 0.0000 0.0000 0.0000
Zr -0.0034 -0.9931 3.6612
F -0.4022 -2.0129 0.7638
F 1.7087 0.1743 1.3591
F -1.3098 0.8455 1.5383
CELL_PARAMETERS angstrom
-2.6197 1.6909 3.0767
-0.8044 -4.0258 1.5277
3.4173 0.3486 2.7181
! SG: Pm-3m

***

Each structure's energy above the most stable one, in eV/atom: arrangement one 0.000; arrangement two 0.240.

***

Arrangement one

! ZrNb2F PBE-GGA relaxed; values from VASP
&SYSTEM
  ibrav = 0, nat = 8, ntyp = 3
/
ATOMIC_SPECIES
Nb 92.91 Nb.upf
Zr 91.22 Zr.upf
F 19.00 F.upf
ATOMIC_POSITIONS angstrom
Nb 1.8901 -2.2480 1.9880
Nb 3.8655 -2.8648 0.2976
Nb 6.6498 -3.2873 2.6644
Nb 6.9560 -5.6457 3.8827
Zr 0.0000 0.0000 0.0000
Zr 3.8061 -4.0331 3.6456
F 1.8306 -3.2027 0.1548
F 5.8746 -2.9898 0.7707
CELL_PARAMETERS angstrom
-0.2379 -4.2461 3.0297
3.8990 -2.1594 -2.7202
6.0195 -0.6175 4.1068
! SG: I-42d

***

Arrangement two

! ZrNb2F PBE-GGA relaxed; values from VASP
&SYSTEM
  ibrav = 0, nat = 4, ntyp = 3
/
ATOMIC_SPECIES
Nb 92.91 Nb.upf
Zr 91.22 Zr.upf
F 19.00 F.upf
ATOMIC_POSITIONS angstrom
Nb -2.1773 1.2117 1.3549
Nb -6.5319 3.6351 4.0648
Zr -4.3546 2.4234 2.7098
F 0.0000 0.0000 0.0000
CELL_PARAMETERS angstrom
-2.3027 0.2280 4.0122
-1.8132 4.0241 1.4041
-4.5933 0.5947 0.0034
! SG: Fm-3m

***

Each structure's energy above the most stable one, in eV/atom: arrangement one 0.000; arrangement two 0.013.

***

Arrangement one

! ZrNbF2 PBE-GGA relaxed; values from VASP
&SYSTEM
  ibrav = 0, nat = 4, ntyp = 3
/
ATOMIC_SPECIES
Nb 92.91 Nb.upf
Zr 91.22 Zr.upf
F 19.00 F.upf
ATOMIC_POSITIONS angstrom
Nb -1.2094 0.1103 5.1855
Zr 0.0000 0.0000 0.0000
F -0.6047 0.0552 2.5928
F -1.8141 0.1655 7.7783
CELL_PARAMETERS angstrom
0.5470 2.1708 3.7280
-3.2465 0.2193 2.8848
0.2807 -2.1694 3.7582
! SG: Fm-3m

***

Arrangement two

! ZrNbF2 PBE-GGA relaxed; values from VASP
&SYSTEM
  ibrav = 0, nat = 4, ntyp = 3
/
ATOMIC_SPECIES
Nb 92.91 Nb.upf
Zr 91.22 Zr.upf
F 19.00 F.upf
ATOMIC_POSITIONS angstrom
Nb 0.0000 0.0000 0.0000
Zr 0.0000 0.0000 11.8977
F 0.0000 0.0000 21.4776
F 0.0000 0.0000 2.3177
CELL_PARAMETERS angstrom
1.6758 0.0000 7.9318
-0.8379 1.4513 7.9318
-0.8379 -1.4513 7.9318
! SG: R-3m

***

Arrangement three

! ZrNbF2 PBE-GGA relaxed; values from VASP
&SYSTEM
  ibrav = 0, nat = 8, ntyp = 3
/
ATOMIC_SPECIES
Nb 92.91 Nb.upf
Zr 91.22 Zr.upf
F 19.00 F.upf
ATOMIC_POSITIONS angstrom
Nb 0.0000 0.0000 0.0000
Nb 1.2812 0.7246 5.8927
Zr -0.1484 -1.2188 3.2430
Zr 2.8946 -2.1722 4.8778
F 0.2215 0.7615 3.9593
F 1.7922 -2.0947 3.0475
F 3.2609 -0.2214 5.6726
F 3.0770 -1.3406 8.8617
CELL_PARAMETERS angstrom
-1.7618 1.6780 4.2578
1.4650 -4.1156 2.2281
4.4726 0.9900 4.2846
! SG: I-42d

***

Each structure's energy above the most stable one, in eV/atom: arrangement one 0.937; arrangement two 0.000; arrangement three 0.563.

***

Arrangement one

! NdPbF PBE-GGA relaxed; values from VASP
&SYSTEM
  ibrav = 0, nat = 3, ntyp = 3
/
ATOMIC_SPECIES
Pb 207.20 Pb.upf
Nd 144.24 Nd.upf
F 19.00 F.upf
ATOMIC_POSITIONS angstrom
Pb -3.3024 2.7269 0.3557
Nd -0.3566 0.7916 -0.2402
F -0.3947 1.4577 1.9959
CELL_PARAMETERS angstrom
-2.1435 4.7579 -1.4439
-3.7111 -1.5509 0.3988
1.8008 1.7692 3.1565
! SG: P-6m2

***

Arrangement two

! NdPbF PBE-GGA relaxed; values from VASP
&SYSTEM
  ibrav = 0, nat = 3, ntyp = 3
/
ATOMIC_SPECIES
Pb 207.20 Pb.upf
Nd 144.24 Nd.upf
F 19.00 F.upf
ATOMIC_POSITIONS angstrom
Pb 0.0000 0.0000 0.0748
Nd 1.7184 1.7184 2.7381
F 0.0000 0.0000 3.3389
CELL_PARAMETERS angstrom
3.4367 0.0000 0.0000
0.0000 3.4367 0.0000
-1.7184 -1.7184 6.1518
! SG: I4mm

***

Each structure's energy above the most stable one, in eV/atom: arrangement one 0.000; arrangement two 0.139.

***

Arrangement one

! Nd2PbF PBE-GGA relaxed; values from VASP
&SYSTEM
  ibrav = 0, nat = 4, ntyp = 3
/
ATOMIC_SPECIES
Pb 207.20 Pb.upf
Nd 144.24 Nd.upf
F 19.00 F.upf
ATOMIC_POSITIONS angstrom
Pb -3.9123 5.2838 -1.5018
Nd -1.6014 5.8231 0.6089
Nd -6.2233 4.7446 -3.6126
F 0.0000 0.0000 0.0000
CELL_PARAMETERS angstrom
-1.7391 1.9198 -4.0375
-4.7180 0.7277 -0.4715
-1.3676 7.9202 1.5053
! SG: R-3m

***

Arrangement two

! Nd2PbF PBE-GGA relaxed; values from VASP
&SYSTEM
  ibrav = 0, nat = 4, ntyp = 3
/
ATOMIC_SPECIES
Pb 207.20 Pb.upf
Nd 144.24 Nd.upf
F 19.00 F.upf
ATOMIC_POSITIONS angstrom
Pb 3.7223 -2.2504 1.9619
Nd 6.0833 0.0820 1.7789
Nd 1.7747 0.0239 0.5190
F -0.2067 -2.3034 0.8130
CELL_PARAMETERS angstrom
-0.8637 -1.4652 3.0209
0.4503 -3.1416 -1.3950
7.8580 0.1059 2.2979
! SG: P4/mmm

***

Each structure's energy above the most stable one, in eV/atom: arrangement one 0.000; arrangement two 0.237.

***

Arrangement one

! Nd2S2F PBE-GGA relaxed; values from VASP
&SYSTEM
  ibrav = 0, nat = 10, ntyp = 3
/
ATOMIC_SPECIES
Nd 144.24 Nd.upf
S 32.06 S.upf
F 19.00 F.upf
ATOMIC_POSITIONS angstrom
Nd 0.0000 3.0794 6.9553
Nd 1.9607 6.9124 5.0263
Nd 0.0000 3.3985 2.8989
Nd 1.9607 6.5933 0.9700
S 1.9607 5.1982 7.2514
S 1.9607 2.7231 4.8100
S 0.0000 6.2370 3.1153
S 0.0000 1.6843 0.6739
F 0.0000 0.6003 6.3797
F 1.9607 4.1142 1.5455
CELL_PARAMETERS angstrom
3.9213 0.0000 0.0000
0.0000 7.0277 0.0000
-1.9607 0.0000 7.9252
! SG: Cmc2_1

***

Arrangement two

! Nd2S2F PBE-GGA relaxed; values from VASP
&SYSTEM
  ibrav = 0, nat = 5, ntyp = 3
/
ATOMIC_SPECIES
Nd 144.24 Nd.upf
S 32.06 S.upf
F 19.00 F.upf
ATOMIC_POSITIONS angstrom
Nd 1.8742 1.8742 2.2857
Nd 1.8742 1.8742 9.3848
S 1.8742 1.8742 6.8168
S 1.8742 1.8742 4.8537
F 1.8742 1.8742 0.0000
CELL_PARAMETERS angstrom
3.7483 0.0000 0.0000
0.0000 3.7483 0.0000
0.0000 0.0000 11.6705
! SG: P4/mmm

***

Each structure's energy above the most stable one, in eV/atom: arrangement one 0.000; arrangement two 1.617.